No. 1
A relaxed structure of AlZn2Hg. Source: Alexandria via LeMat-Bulk, functional GGA-PBE.

a = 3.1558 Å, b = 3.1558 Å, c = 25.3639 Å
α = 90.00°, β = 90.00°, γ = 120.00°
Last column: nearest neighbours and their distance in Å.
Space group R3m (No. 160, hexagonal axes)
Unique sites:
1 Al 0.0000 0.0000 0.0000 (multiplicity 3)  3 Zn 2.73, 3 Hg 2.92
2 Zn 0.0000 0.0000 0.2531 (multiplicity 3)  3 Zn 2.64, 3 Al 2.73
3 Zn 0.0000 0.0000 0.5109 (multiplicity 3)  3 Zn 2.64, 3 Hg 2.88
4 Hg 0.0000 0.0000 0.7566 (multiplicity 3)  3 Zn 2.88, 3 Al 2.92, 6 Hg 3.16

* density: 8.16 g/cm3
* ΔE to the lowest computed polymorph: 0.005 eV per atom
* energy of formation: 44 kJ/mol of formula units

---

No. 2
A relaxed structure of CsNaMoC2. Source: Alexandria via LeMat-Bulk, functional GGA-PBE.

a = 4.4343 Å, b = 4.4343 Å, c = 5.0793 Å
α = 90.00°, β = 90.00°, γ = 90.00°
Last column: nearest neighbours and their distance in Å.
Space group P4/mmm (No. 123)
Unique sites:
1 Cs 0.0000 0.0000 0.0000 (multiplicity 1)  2 Na 2.54
2 Na 0.0000 0.0000 0.5000 (multiplicity 1)  4 C 2.22
3 Mo 0.5000 0.5000 0.0000 (multiplicity 1)  4 Cs 3.14, 8 C 3.37
4 C 0.0000 0.5000 0.5000 (multiplicity 2)  2 Na 2.22

* density: 4.59 g/cm3
* energy of formation: 1691 kJ/mol of formula units

---

No. 3
A relaxed structure of Cr2HIrW. Source: Alexandria via LeMat-Bulk, functional GGA-PBE.

a = 3.8081 Å, b = 3.8081 Å, c = 3.8880 Å
α = 90.00°, β = 90.00°, γ = 90.00°
Last column: nearest neighbours and their distance in Å.
Space group P4/mmm (No. 123)
Unique sites:
1 Cr 0.0000 0.5000 0.0000 (multiplicity 2)  2 H 1.90
2 H 0.0000 0.0000 0.0000 (multiplicity 1)  4 Cr 1.90, 2 W 1.94
3 Ir 0.5000 0.5000 0.5000 (multiplicity 1)  4 W 2.69, 8 Cr 2.72
4 W 0.0000 0.0000 0.5000 (multiplicity 1)  2 H 1.94

* density: 14.17 g/cm3
* ΔE to the lowest computed polymorph: 0.000 eV per atom

---

No. 4
A relaxed structure of NbGeRh. Source: Alexandria via LeMat-Bulk, functional GGA-PBE.

a = 6.4977 Å, b = 3.8745 Å, c = 7.5012 Å
α = 90.00°, β = 90.00°, γ = 90.00°
Last column: nearest neighbours and their distance in Å.
Space group Pnma (No. 62)
Unique sites:
1 Nb 0.0281 0.2500 0.1788 (multiplicity 4)  5 Ge 2.73-2.80, 5 Rh 2.97-3.01
2 Ge 0.2400 0.7500 0.3761 (multiplicity 4)  4 Rh 2.47-2.54, 3 Nb 2.73
3 Rh 0.1440 0.2500 0.5616 (multiplicity 4)  4 Ge 2.47-2.54

* density: 9.44 g/cm3
* energy of formation: -181 kJ/mol of formula units

---

No. 5
A relaxed structure of Mn3AlH. Source: Alexandria via LeMat-Bulk, functional GGA-PBE.

a = 4.3233 Å, b = 5.1838 Å, c = 4.5211 Å
α = 90.00°, β = 90.00°, γ = 90.00°
Last column: nearest neighbours and their distance in Å.
Space group Pmm2 (No. 25)
Unique sites:
1 Mn 0.0000 0.0000 0.0000 (multiplicity 1)  4 Al 2.56-2.59, 8 Mn 2.56-2.66
2 Mn 0.0000 0.2396 0.5043 (multiplicity 2)  2 H 1.85
3 Mn 0.5000 0.2450 0.8043 (multiplicity 2)  2 H 1.86
4 Mn 0.5000 0.5000 0.2920 (multiplicity 1)  2 H 1.79
5 Al 0.0000 0.5000 0.0084 (multiplicity 1)  2 H 2.11
6 Al 0.5000 0.0000 0.3037 (multiplicity 1)  12 Mn 2.56-2.65
7 H 0.2674 0.5000 0.6191 (multiplicity 2)  5 Mn 1.79-1.86

* density: 6.32 g/cm3
* uncorrected energy: -34.934 eV per formula unit